The following is a PBE calculation of a geometry-optimized Ac2CeReN5 structure, from Alexandria.

Geometry as CIF:
```
data_Ac2CeReN5
_chemical_formula_sum 'Ac8 Ce4 Re4 N20'
_cell_length_a 7.086
_cell_length_b 7.086
_cell_length_c 11.966
_cell_angle_alpha 90.00
_cell_angle_beta 90.00
_cell_angle_gamma 90.00
_space_group_name_H-M_alt 'I 4/m c m'
_space_group_IT_number 140
_space_group_name_Hall '-I 4 2c'
loop_
_atom_site_label
_atom_site_type_symbol
_atom_site_fract_x
_atom_site_fract_y
_atom_site_fract_z
_atom_site_occupancy
Ac1 Ac 0.176 0.324 0.000 1
Ce1 Ce 0.000 0.000 0.250 1
Re1 Re 0.000 0.500 0.250 1
N1 N 0.000 0.000 0.000 1
N2 N 0.146 0.354 0.345 1
```

The formation energy without anion corrections is -0.894 eV/atom. As for the density of states at the Fermi level: 0.8354 states/eV/atom.